DFT (GGA-PBE) results for AcDyCd4 after structural relaxation.

a b c (Å): 6.071 6.071 6.071
angles (deg): 60.00 60.00 60.00
Positions (direct):
Ac  0.250  0.250  0.250
Cd  0.626  0.626  0.123
Cd  0.626  0.123  0.626
Cd  0.626  0.626  0.626
Cd  0.123  0.626  0.626
Dy  0.000  0.000  0.000

Calculated values
The polymorph energy (0 for the lowest one) comes out at 0.052 eV per atom. As for the formation enthalpy at 0 K: -0.27 eV per atom. Its total magnetization is 0.000 μB per formula unit. For the calculated volume, the calculation gives 26.37 Å³/atom. For the total energy, the calculation gives -2.33 eV/atom.